Here is a relaxed structure of Pr5Dy2Er2 from Alexandria. Energies are from GGA-PBE.

Cell: 11.5032 5.1344 10.8788 Å, 90.00 108.40 90.00°
With the nearest neighbours (Å) after each atom.
Space group C2/m (No. 12)
One atom of each set of equivalent atoms:
Pr  0.0000  0.0000  0.0000 (multiplicity 2)  2 Dy 3.62, 6 Pr 3.63-3.66, 4 Er 3.65
Pr  0.1651  0.5000  0.8874 (multiplicity 4)  2 Dy 3.62, 6 Pr 3.62-3.66, 4 Er 3.64-3.65
Pr  0.1661  0.5000  0.5548 (multiplicity 4)  3 Er 3.60-3.62, 4 Pr 3.62-3.63, 5 Dy 3.62-3.64
Dy  0.0006  0.0000  0.3332 (multiplicity 4)  8 Pr 3.62-3.64, 3 Er 3.63, 1 Dy 3.63
Er  0.1683  0.5000  0.2244 (multiplicity 4)  9 Pr 3.60-3.65, 3 Dy 3.63

Properties
As for the volume: 33.9 A^3/atom. As for the calculated total energy: -84.084 eV per cell. For the magnetic moment, the calculation gives 0.000 μB per formula unit. Its energy above the most stable polymorph in this dataset is 0 meV/atom. For the density of states at the Fermi level, the calculation gives 27.05 states/eV/cell.